No. 1
PBE with a Hubbard U Ac2MgMoO8, relaxed; magnetic moment = 0.16 μB per atom; calculated total energy = -6.924 eV/atom
1.0
4.186 0.000 0.000
0.778 5.702 0.000
0.269 0.338 7.165
Ac Mg Mo O
2 1 1 8
Direct
0.209 0.027 0.236
0.791 0.973 0.764
0.500 0.500 0.000
0.500 0.500 0.500
0.230 0.323 0.665
0.253 0.478 0.268
0.278 0.802 0.551
0.300 0.823 0.946
0.700 0.177 0.054
0.722 0.198 0.449
0.747 0.522 0.732
0.770 0.677 0.335



No. 2
PBE with a Hubbard U AcMgMo2O8, relaxed; magnetic moment = 0.08 μB per atom; calculated total energy = -7.090 eV/atom
1.0
5.825 0.000 0.000
-2.912 5.045 0.000
0.000 0.000 6.847
Ac Mg Mo O
1 1 2 8
Direct
0.000 0.000 0.000
0.000 0.000 0.500
0.333 0.667 0.235
0.667 0.333 0.765
0.157 0.314 0.301
0.157 0.843 0.301
0.314 0.157 0.699
0.333 0.667 0.972
0.667 0.333 0.028
0.686 0.843 0.301
0.843 0.157 0.699
0.843 0.686 0.699



No. 3
PBE with a Hubbard U Ac2MgMoO6, relaxed; magnetic moment = 0.20 μB per atom; calculated total energy = -7.474 eV/atom
1.0
4.971 -2.914 0.000
4.971 2.914 0.000
-3.365 0.000 4.722
Ac Mg Mo O
2 1 1 6
Direct
0.249 0.249 0.237
0.751 0.751 0.763
0.500 0.500 0.000
0.000 0.000 0.500
0.207 0.704 0.207
0.246 0.246 0.667
0.296 0.793 0.793
0.704 0.207 0.207
0.754 0.754 0.333
0.793 0.296 0.793